# 1
Computed, not measured: a relaxed structure of CsSrMg2Sb at the PBE level of DFT.

Lattice parameters (Å, degrees): 5.9912 6.2934 5.9912 90.00 90.00 90.00
Last column: nearest neighbours and their distance in Å.
Fractional coordinates of all 5 atoms:
Cs 0.5000 0.5000 0.5000  4 Sr 4.24, 8 Mg 4.34
Sb 0.0000 0.0000 0.0000  4 Mg 3.00, 2 Sr 3.15
Mg 0.0000 0.0000 0.5000  2 Sb 3.00
Mg 0.5000 0.0000 0.0000  2 Sb 3.00
Sr 0.0000 0.5000 0.0000  2 Sb 3.15

Properties
Uncorrected energy ... -1.917 eV per atom

---

# 2
Computed, not measured: a relaxed structure of SiB3C at the PBE level of DFT.

Lattice parameters (Å, degrees): 2.9821 4.4240 6.5239 90.00 90.00 90.00
Last column: nearest neighbours and their distance in Å.
Fractional coordinates of all 10 atoms:
Si 0.0000 0.5000 0.6833  2 C 2.06, 6 B 2.14-2.22
Si 0.5000 0.0000 0.1833  2 C 2.06, 6 B 2.14-2.22
B 0.0000 0.6833 0.2797  1 C 1.61, 1 B 1.62
B 0.0000 0.3167 0.2797  1 C 1.61, 1 B 1.62
B 0.5000 0.1833 0.7797  1 C 1.61, 1 B 1.62
B 0.5000 0.8167 0.7797  1 C 1.61, 1 B 1.62
B 0.0000 0.0000 0.6493  1 C 1.61
B 0.5000 0.5000 0.1493  1 C 1.61
C 0.0000 0.0000 0.4022  3 B 1.61
C 0.5000 0.5000 0.9022  3 B 1.61

Properties
Energy above the lowest structure with this stoichiometry ... 0.318 eV per atom